1.
This record from Alexandria describes a geometry-optimized Ac3Al2InPd9 structure. The functional is PBE.

Output
- formation enthalpy at 0 K (eV/atom) = -0.628
- symmetry = No. 164

a b c (Å): 6.547 6.547 9.530
angles (deg): 90.00 90.00 120.00
Positions (direct):
Ac (0.000, 0.000, 0.000)
Ac (0.667, 0.333, 0.290)
Ac (0.333, 0.667, 0.710)
Pd (0.000, 0.500, 0.000)
Pd (0.500, 0.500, 0.000)
Pd (0.285, 0.143, 0.727)
Pd (0.857, 0.143, 0.727)
Pd (0.143, 0.285, 0.273)
Pd (0.857, 0.715, 0.727)
Pd (0.715, 0.857, 0.273)
Pd (0.500, 0.000, 0.000)
Pd (0.143, 0.857, 0.273)
Al (0.333, 0.667, 0.171)
Al (0.667, 0.333, 0.829)
In (0.000, 0.000, 0.500)

2.
This record from Alexandria describes a geometry-optimized La3Pr2Hg3 structure. The functional is PBE.

Output
- formation enthalpy at 0 K (eV/atom) = -0.370
- symmetry = No. 71

a b c (Å): 3.898 5.622 11.991
angles (deg): 103.56 99.35 90.00
Positions (direct):
Hg (0.000, 0.500, 0.000)
Hg (0.120, 0.120, 0.240)
Hg (0.880, 0.880, 0.760)
Pr (0.733, 0.233, 0.467)
Pr (0.267, 0.767, 0.533)
La (0.500, 0.000, 0.000)
La (0.380, 0.380, 0.759)
La (0.620, 0.620, 0.241)

3.
This record from Alexandria describes a geometry-optimized CrIn3 structure. The functional is PBE.

Output
- formation enthalpy at 0 K (eV/atom) = 0.288
- symmetry = No. 139

a b c (Å): 9.672 9.672 9.672
angles (deg): 153.59 153.59 37.70
Each line ends with the local moment (μB).
Positions (direct):
In (0.000, 0.500, 0.500)  -0.04
In (0.124, 0.124, 0.000)  -0.05
In (0.876, 0.876, 0.000)  -0.05
In (0.500, 0.000, 0.500)  -0.04
In (0.250, 0.750, 0.500)  -0.05
In (0.750, 0.250, 0.500)  -0.05
Cr (0.372, 0.372, 0.000)  3.65
Cr (0.628, 0.628, 0.000)  3.65

4.
This record from Alexandria describes a geometry-optimized CeNdTm2 structure. The functional is PBE.

Output
- energy above the lowest structure with this stoichiometry (meV/atom) = 3
- formation enthalpy at 0 K (eV/atom) = 0.055
- symmetry = No. 160

a b c (Å): 3.538 3.538 11.626
angles (deg): 81.25 81.25 60.00
Each line ends with the local moment (μB).
Positions (direct):
Tm (0.252, 0.252, 0.243)  0.01
Tm (0.081, 0.081, 0.758)  -0.01
Nd (0.501, 0.501, 0.498)  -0.01
Ce (0.666, 0.666, 0.001)  0.47

5.
This record from Alexandria describes a geometry-optimized NiGe3Se structure. The functional is PBE.

Output
- raw formation energy (eV per atom) = 0.112
- energy above the lowest structure with this stoichiometry (meV/atom) = 0
- symmetry = No. 221

a b c (Å): 4.634 4.634 4.634
angles (deg): 90.00 90.00 90.00
Positions (direct):
Ge (0.500, 0.000, 0.000)
Ge (0.000, 0.500, 0.000)
Ge (0.000, 0.000, 0.500)
Se (0.500, 0.500, 0.500)
Ni (0.000, 0.000, 0.000)

6.
This record from Alexandria describes a geometry-optimized Be2NbTl structure. The functional is PBE.

Output
- energy above the lowest structure with this stoichiometry (meV/atom) = 83
- formation enthalpy at 0 K (eV/atom) = 0.701
- symmetry = No. 122

a b c (Å): 6.737 6.737 5.542
angles (deg): 52.57 52.57 90.00
Positions (direct):
Tl (0.000, 0.000, 0.000)
Tl (0.750, 0.250, 0.500)
Be (0.875, 0.879, 0.750)
Be (0.375, 0.371, 0.750)
Be (0.121, 0.625, 0.250)
Be (0.629, 0.125, 0.250)
Nb (0.250, 0.750, 0.500)
Nb (0.500, 0.500, 0.000)

7.
This record from Alexandria describes a geometry-optimized Y2SnHg2 structure. The functional is PBE.

Output
- energy above the lowest structure with this stoichiometry (meV/atom) = 45
- formation enthalpy at 0 K (eV/atom) = -0.442
- symmetry = No. 12

a b c (Å): 8.107 8.107 6.158
angles (deg): 43.26 43.26 31.87
Positions (direct):
Hg (0.604, 0.604, 0.475)
Hg (0.396, 0.396, 0.525)
Sn (0.000, 0.000, 0.000)
Y (0.695, 0.695, 0.823)
Y (0.305, 0.305, 0.177)

8.
This record from Alexandria describes a geometry-optimized CaCuP2 structure. The functional is PBE.

Output
- formation enthalpy at 0 K (eV/atom) = -0.220
- symmetry = No. 123

a b c (Å): 3.479 3.473 5.817
angles (deg): 90.00 90.00 90.00
Positions (direct):
P (0.000, 0.000, 0.563)
P (0.000, 0.000, 0.937)
Cu (0.500, 0.500, 0.750)
Ca (0.500, 0.500, 0.250)

| no. | N(E_F) (states/eV per atom) | spin magnetization (μB per cell) | final energy (eV per atom) |
| --- | --- | --- | --- |
| 1 | 0.435 | 0.00 | -5.2467 |
| 2 | 1.200 | 0.01 | -3.5258 |
| 3 | 0.542 | 7.65 | -4.1712 |
| 4 | 2.006 | 0.56 | -4.8565 |
| 5 | 0.671 | 0.00 | -4.5117 |
| 6 | 0.053 | 0.00 | -4.2711 |
| 7 | 0.541 | 0.00 | -3.9489 |
| 8 | 0.470 | 0.00 | -4.4489 |